[1]
The following is a PBE calculation of a relaxed structure of CsPuScTe3, from the Alexandria database.

a = 4.9622 Å, b = 9.6362 Å, c = 11.1589 Å
α = 115.44°, β = 90.00°, γ = 90.00°
Last column: nearest neighbours and their distance in Å.
Element x y z (fractional)
Te: 0.2500 0.8067 0.4618  3 Sc 2.85-2.97
Te: 0.7500 0.5154 0.1815  1 Sc 3.05, 3 Pu 3.11-3.21
Te: 0.7500 0.1933 0.5382  3 Sc 2.85-2.97
Te: 0.7500 0.9043 0.1285  1 Sc 2.82
Pu: 0.7500 0.3123 0.8772  6 Te 3.11-3.45
Te: 0.2500 0.4846 0.8185  1 Sc 3.05, 3 Pu 3.11-3.21
Sc: 0.2500 0.1409 0.6383  5 Te 2.82-3.05
Te: 0.2500 0.0957 0.8715  1 Sc 2.82
Cs: 0.2500 0.2528 0.2619  7 Te 3.91-4.18
Sc: 0.7500 0.8591 0.3617  5 Te 2.82-3.05
Cs: 0.7500 0.7472 0.7381  7 Te 3.91-4.18
Pu: 0.2500 0.6877 0.1228  6 Te 3.11-3.45

* space-group type: No. 11
* formation energy without anion corrections: -1.113 eV per atom

[2]
The following is a PBE calculation of a relaxed structure of Nd2DyIr3, from the Alexandria database.

a = 4.6959 Å, b = 5.7406 Å, c = 6.4360 Å
α = 116.49°, β = 111.40°, γ = 90.00°
Last column: nearest neighbours and their distance in Å.
Element x y z (fractional)
Dy: 0.0000 0.5000 0.0000  6 Ir 2.79-2.87
Nd: 0.3293 0.8293 0.6585  6 Ir 2.88-3.06
Nd: 0.6707 0.1707 0.3415  6 Ir 2.88-3.06
Ir: 0.6434 0.6434 0.2868  2 Dy 2.79, 4 Nd 2.88-3.06, 1 Ir 3.02
Ir: 0.3566 0.3566 0.7132  2 Dy 2.79, 4 Nd 2.88-3.06, 1 Ir 3.02
Ir: 0.0000 0.0000 0.0000  2 Dy 2.87, 4 Nd 2.96

* energy of formation: -355 meV/atom
* space-group type: No. 71

[3]
The following is a PBE calculation of a relaxed structure of Ga2Ni2Pd, from the Alexandria database.

a = 6.9298 Å, b = 6.9298 Å, c = 2.7744 Å
α = 90.00°, β = 90.00°, γ = 90.00°
Last column: nearest neighbours and their distance in Å.
Element x y z (fractional)
Ga: 0.8451 0.6549 0.0000  6 Ni 2.44-2.48, 2 Pd 2.62
Pd: 0.5000 0.5000 0.0000  4 Ga 2.62, 2 Pd 2.77
Ni: 0.1407 0.6407 0.5000  6 Ga 2.44-2.48
Ni: 0.8593 0.3593 0.5000  6 Ga 2.44-2.48
Ga: 0.6549 0.1549 0.0000  6 Ni 2.44-2.48, 2 Pd 2.62
Pd: 0.0000 0.0000 0.0000  4 Ga 2.62, 2 Pd 2.77
Ga: 0.3451 0.8451 0.0000  6 Ni 2.44-2.48, 2 Pd 2.62
Ni: 0.3593 0.1407 0.5000  6 Ga 2.44-2.48
Ga: 0.1549 0.3451 0.0000  6 Ni 2.44-2.48, 2 Pd 2.62
Ni: 0.6407 0.8593 0.5000  6 Ga 2.44-2.48

* polymorph energy (0 for the lowest one): 0 meV/atom
* energy of formation: -391 meV/atom
* space-group type: No. 127

[4]
The following is a PBE calculation of a relaxed structure of CaYZr2, from the Alexandria database.

a = 4.9664 Å, b = 4.6970 Å, c = 4.6970 Å
α = 90.00°, β = 90.00°, γ = 90.00°
Last column: nearest neighbours and their distance in Å.
Element x y z (fractional)
Ca: 0.5000 0.5000 0.0000  4 Y 3.32, 8 Zr 3.42
Zr: 0.0000 0.0000 0.0000  4 Zr 3.32, 4 Ca 3.42, 4 Y 3.42
Y: 0.5000 0.0000 0.5000  4 Ca 3.32, 8 Zr 3.42
Zr: 0.0000 0.5000 0.5000  4 Zr 3.32, 4 Y 3.42, 4 Ca 3.42

* polymorph energy (0 for the lowest one): 144 meV/atom
* energy of formation: 308 meV/atom
* space-group type: No. 123

[5]
The following is a PBE calculation of a relaxed structure of YThC2, from the Alexandria database.

a = 3.6290 Å, b = 3.6312 Å, c = 6.3040 Å
α = 90.25°, β = 90.01°, γ = 119.98°
Last column: nearest neighbours and their distance in Å.
Element x y z (fractional)
Th: 0.0000 0.5000 0.5000  6 C 2.59-2.60
C: 0.3334 0.1667 0.2580  3 Th 2.59-2.60, 3 Y 2.65-2.66
C: 0.6666 0.8333 0.7420  3 Th 2.59-2.60, 3 Y 2.65-2.66
Y: 0.0000 0.5000 0.0000  6 C 2.65-2.66

* polymorph energy (0 for the lowest one): 299 meV/atom
* energy of formation: 177 meV/atom
* space-group type: No. 12

[6]
The following is a PBE calculation of a relaxed structure of K2Li2Ga, from the Alexandria database.

a = 4.0329 Å, b = 4.0329 Å, c = 11.4080 Å
α = 79.82°, β = 79.82°, γ = 90.00°
Last column: nearest neighbours and their distance in Å.
Element x y z (fractional)
K: 0.5990 0.5990 0.8019  4 Ga 3.59, 4 Li 3.90
Ga: 0.0000 0.0000 0.0000  8 K 3.59
Li: 0.2500 0.7500 0.5000  4 Li 2.85
K: 0.4010 0.4010 0.1981  4 Ga 3.59, 4 Li 3.90
Li: 0.7500 0.2500 0.5000  4 Li 2.85

* polymorph energy (0 for the lowest one): 99 meV/atom
* energy of formation: 200 meV/atom
* space-group type: No. 139

[7]
The following is a PBE calculation of a relaxed structure of KSrAc, from the Alexandria database.

a = 4.1030 Å, b = 4.1030 Å, c = 22.5756 Å
α = 84.79°, β = 84.79°, γ = 60.00°
Last column: nearest neighbours and their distance in Å.
Element x y z (fractional)
Sr: 0.2530 0.2530 0.2411  1 Ac 3.87, 6 Sr 4.10
K: 0.8637 0.8637 0.4088  6 K 4.10, 3 Sr 4.45
Ac: 0.6896 0.6896 0.9311  1 Sr 3.87, 9 Ac 3.90-4.10
Sr: 0.7470 0.7470 0.7589  1 Ac 3.87, 6 Sr 4.10
K: 0.1363 0.1363 0.5912  6 K 4.10, 3 Sr 4.45
Ac: 0.3104 0.3104 0.0689  1 Sr 3.87, 9 Ac 3.90-4.10

* polymorph energy (0 for the lowest one): 0 meV/atom
* energy of formation: 145 meV/atom
* space-group type: No. 166

[8]
The following is a PBE calculation of a relaxed structure of KTcPb2, from the Alexandria database.

a = 10.2704 Å, b = 10.2704 Å, c = 10.2704 Å
α = 19.50°, β = 19.50°, γ = 19.50°
Last column: nearest neighbours and their distance in Å.
Element x y z (fractional)
Pb: 0.5159 0.5159 0.5159  3 Tc 2.86
Tc: 0.2500 0.2500 0.2500  6 Pb 2.86
Pb: 0.9841 0.9841 0.9841  3 Tc 2.86
K: 0.7500 0.7500 0.7500  6 K 3.48, 6 Pb 3.61

* polymorph energy (0 for the lowest one): 115 meV/atom
* energy of formation: 365 meV/atom
* space-group type: No. 166

Number 1: energy -0.46085 Ry per atom, volume 40.15 Å³ per atom. Number 2: energy -0.52494 Ry per atom, volume 23.63 Å³ per atom. Number 3: energy -0.36400 Ry per atom, volume 13.32 Å³ per atom. Number 4: energy -0.44704 Ry per atom, volume 27.39 Å³ per atom. Number 5: energy -0.58104 Ry per atom, volume 17.99 Å³ per atom. Number 6: energy -0.11836 Ry per atom, volume 35.93 Å³ per atom. Number 7: energy -0.15809 Ry per atom, volume 54.55 Å³ per atom. Number 8: energy -0.32012 Ry per atom, volume 26.38 Å³ per atom.